A plane-wave DFT calculation with GGA-PBE was carried out for an optimized crystal structure of Ag2Rh2Au.

The energy of formation is 452 meV/atom.

It has space group P4/mbm (No. 127), with a = 7.846 Å, b = 7.846 Å, c = 2.815 Å, α = 90.00°, β = 90.00° and γ = 90.00°. The asymmetric unit holds Ag at (0.181, 0.319, 0.000), Rh at (0.115, 0.615, 0.500) and Au at (0.000, 0.000, 0.500).